# AgSbW2

An optimized crystal structure of AgSbW2 (PBEsol, Alexandria).

Summary:
E_form (uncorrected) (meV per atom): 692.0
E (eV per atom): -8.179
Magnetic moment (μB per cell): 0.00

The structure in CIF format:
```
data_AgSbW2
_chemical_formula_sum 'Ag2 Sb2 W4'
_cell_length_a 9.4727
_cell_length_b 3.1609
_cell_length_c 4.6930
_cell_angle_alpha 90.00
_cell_angle_beta 100.62
_cell_angle_gamma 90.00
_space_group_name_H-M_alt 'C 1 2/m 1'
_space_group_IT_number 12
loop_
_space_group_symop_operation_xyz
'x,y,z'
'-x,-y,-z'
'-x,y,-z'
'x,-y,z'
'x+1/2,y+1/2,z'
'-x+1/2,-y+1/2,-z'
'-x+1/2,y+1/2,-z'
'x+1/2,-y+1/2,z'
loop_
_atom_site_label
_atom_site_type_symbol
_atom_site_fract_x
_atom_site_fract_y
_atom_site_fract_z
Ag1 Ag 0.0000 0.0000 0.0000
Sb1 Sb 0.0000 0.5000 0.5000
W1 W 0.2484 0.5000 0.2319
```

---

# CuAsPt2

An optimized crystal structure of CuAsPt2 (PBEsol, Alexandria).

Summary:
Calculated formation energy (meV per atom): -47
E (eV per atom): -5.889
Magnetic moment (μB per cell): 0.00

The structure in CIF format:
```
data_CuAsPt2
_chemical_formula_sum 'Cu2 As2 Pt4'
_cell_length_a 3.7570
_cell_length_b 3.7570
_cell_length_c 8.2305
_cell_angle_alpha 90.00
_cell_angle_beta 90.00
_cell_angle_gamma 90.00
_space_group_name_H-M_alt 'I -4 m 2'
_space_group_IT_number 119
_space_group_name_Hall 'I -4 -2'
loop_
_atom_site_label
_atom_site_type_symbol
_atom_site_fract_x
_atom_site_fract_y
_atom_site_fract_z
Cu1 Cu 0.0000 0.0000 0.0000
As1 As 0.0000 0.5000 0.7500
Pt1 Pt 0.0000 0.0000 0.5000
Pt2 Pt 0.0000 0.5000 0.2500
```

---

# Sc3TeMo

An optimized crystal structure of Sc3TeMo (PBEsol, Alexandria).

Summary:
E_form (uncorrected) (meV per atom): 231.4
E (eV per atom): -6.790
Magnetic moment (μB per cell): 0.00

The structure in CIF format:
```
data_Sc3TeMo
_chemical_formula_sum 'Sc3 Te1 Mo1'
_cell_length_a 4.9700
_cell_length_b 4.9700
_cell_length_c 4.9700
_cell_angle_alpha 90.00
_cell_angle_beta 90.00
_cell_angle_gamma 90.00
_space_group_name_H-M_alt 'P m -3 m'
_space_group_IT_number 221
_space_group_name_Hall '-P 4 2 3'
loop_
_atom_site_label
_atom_site_type_symbol
_atom_site_fract_x
_atom_site_fract_y
_atom_site_fract_z
Sc1 Sc 0.0000 0.0000 0.5000
Te1 Te 0.5000 0.5000 0.5000
Mo1 Mo 0.0000 0.0000 0.0000
```

---

# Sc2PPdF

An optimized crystal structure of Sc2PPdF (PBEsol, Alexandria).

Summary:
E_form (uncorrected) (meV per atom): -966.7
E (eV per atom): -6.344
Magnetic moment (μB per cell): 0.00

The structure in CIF format:
```
data_Sc2PPdF
_chemical_formula_sum 'Sc2 P1 Pd1 F1'
_cell_length_a 4.1885
_cell_length_b 4.1885
_cell_length_c 4.4670
_cell_angle_alpha 90.00
_cell_angle_beta 90.00
_cell_angle_gamma 90.00
_space_group_name_H-M_alt 'P 4/m m m'
_space_group_IT_number 123
_space_group_name_Hall '-P 4 2'
loop_
_atom_site_label
_atom_site_type_symbol
_atom_site_fract_x
_atom_site_fract_y
_atom_site_fract_z
Sc1 Sc 0.0000 0.5000 0.0000
P1 P 0.0000 0.0000 0.5000
Pd1 Pd 0.5000 0.5000 0.5000
F1 F 0.5000 0.5000 0.0000
```

---

# CdCoOs2

An optimized crystal structure of CdCoOs2 (PBEsol, Alexandria).

Summary:
Calculated formation energy (meV per atom): 622
E (eV per atom): -7.719
Magnetic moment (μB per cell): 1.59

The structure in CIF format:
```
data_CdCoOs2
_chemical_formula_sum 'Cd2 Co2 Os4'
_cell_length_a 3.8661
_cell_length_b 3.8661
_cell_length_c 7.4993
_cell_angle_alpha 90.00
_cell_angle_beta 90.00
_cell_angle_gamma 90.00
_space_group_name_H-M_alt 'I -4 m 2'
_space_group_IT_number 119
_space_group_name_Hall 'I -4 -2'
loop_
_atom_site_label
_atom_site_type_symbol
_atom_site_fract_x
_atom_site_fract_y
_atom_site_fract_z
Cd1 Cd 0.0000 0.0000 0.0000
Co1 Co 0.0000 0.5000 0.2500
Os1 Os 0.0000 0.0000 0.5000
Os2 Os 0.0000 0.5000 0.7500
```

---

# K3PH

An optimized crystal structure of K3PH (PBEsol, Alexandria).

Summary:
E (eV per atom): -2.304
Magnetic moment (μB per cell): 1.03

The structure in CIF format:
```
data_K3PH
_chemical_formula_sum 'K3 P1 H1'
_cell_length_a 6.0658
_cell_length_b 6.0658
_cell_length_c 6.0658
_cell_angle_alpha 90.00
_cell_angle_beta 90.00
_cell_angle_gamma 90.00
_space_group_name_H-M_alt 'P m -3 m'
_space_group_IT_number 221
_space_group_name_Hall '-P 4 2 3'
loop_
_atom_site_label
_atom_site_type_symbol
_atom_site_fract_x
_atom_site_fract_y
_atom_site_fract_z
K1 K 0.0000 0.0000 0.5000
P1 P 0.0000 0.0000 0.0000
H1 H 0.5000 0.5000 0.5000
```

---

# ZnPt2W

An optimized crystal structure of ZnPt2W (PBEsol, Alexandria).

Summary:
Calculated formation energy (meV per atom): -405
E (eV per atom): -7.735
Magnetic moment (μB per cell): 0.00

The structure in CIF format:
```
data_ZnPt2W
_chemical_formula_sum 'Zn1 Pt2 W1'
_cell_length_a 2.7584
_cell_length_b 2.7584
_cell_length_c 7.6786
_cell_angle_alpha 90.00
_cell_angle_beta 90.00
_cell_angle_gamma 90.00
_space_group_name_H-M_alt 'P 4/m m m'
_space_group_IT_number 123
_space_group_name_Hall '-P 4 2'
loop_
_atom_site_label
_atom_site_type_symbol
_atom_site_fract_x
_atom_site_fract_y
_atom_site_fract_z
Zn1 Zn 0.0000 0.0000 0.0000
Pt1 Pt 0.5000 0.5000 0.2477
W1 W 0.0000 0.0000 0.5000
```

---

# MnFeAs

An optimized crystal structure of MnFeAs (PBEsol, Alexandria).

Summary:
Calculated formation energy (meV per atom): 19
E (eV per atom): -7.925
Magnetic moment (μB per cell): 3.24

The structure in CIF format:
```
data_MnFeAs
_chemical_formula_sum 'Mn1 Fe1 As1'
_cell_length_a 3.9057
_cell_length_b 3.9057
_cell_length_c 2.8092
_cell_angle_alpha 90.00
_cell_angle_beta 90.00
_cell_angle_gamma 120.00
_space_group_name_H-M_alt 'P -6 m 2'
_space_group_IT_number 187
_space_group_name_Hall 'P -6 2'
loop_
_atom_site_label
_atom_site_type_symbol
_atom_site_fract_x
_atom_site_fract_y
_atom_site_fract_z
Mn1 Mn 0.0000 0.0000 0.0000
Fe1 Fe 0.6667 0.3333 0.5000
As1 As 0.3333 0.6667 0.5000
```

---

# KBeFe2

An optimized crystal structure of KBeFe2 (PBEsol, Alexandria).

Summary:
Calculated formation energy (meV per atom): 997
E (eV per atom): -4.769
Magnetic moment (μB per cell): 9.16

The structure in CIF format:
```
data_KBeFe2
_chemical_formula_sum 'K2 Be2 Fe4'
_cell_length_a 2.4925
_cell_length_b 4.9597
_cell_length_c 9.6902
_cell_angle_alpha 90.00
_cell_angle_beta 90.00
_cell_angle_gamma 90.00
_space_group_name_H-M_alt 'I m m m'
_space_group_IT_number 71
_space_group_name_Hall '-I 2 2'
loop_
_atom_site_label
_atom_site_type_symbol
_atom_site_fract_x
_atom_site_fract_y
_atom_site_fract_z
K1 K 0.0000 0.0000 0.0000
Be1 Be 0.0000 0.0000 0.5000
Fe1 Fe 0.0000 0.5000 0.2028
```

---

# BaLiMg4

An optimized crystal structure of BaLiMg4 (PBEsol, Alexandria).

Summary:
Calculated formation energy (meV per atom): -19
E (eV per atom): -1.850
Magnetic moment (μB per cell): 0.00

The structure in CIF format:
```
data_BaLiMg4
_chemical_formula_sum 'Ba4 Li4 Mg16'
_cell_length_a 8.7738
_cell_length_b 8.7738
_cell_length_c 8.7738
_cell_angle_alpha 90.00
_cell_angle_beta 90.00
_cell_angle_gamma 90.00
_space_group_name_H-M_alt 'F -4 3 m'
_space_group_IT_number 216
_space_group_name_Hall 'F -4 2 3'
loop_
_atom_site_label
_atom_site_type_symbol
_atom_site_fract_x
_atom_site_fract_y
_atom_site_fract_z
Ba1 Ba 0.0000 0.0000 0.0000
Li1 Li 0.2500 0.2500 0.7500
Mg1 Mg 0.1237 0.1237 0.3763
```

---

# In2FeHg

An optimized crystal structure of In2FeHg (PBEsol, Alexandria).

Summary:
Calculated formation energy (meV per atom): 337
E (eV per atom): -3.537
Magnetic moment (μB per cell): 2.72

The structure in CIF format:
```
data_In2FeHg
_chemical_formula_sum 'In2 Fe1 Hg1'
_cell_length_a 4.9666
_cell_length_b 3.2110
_cell_length_c 5.3492
_cell_angle_alpha 90.00
_cell_angle_beta 112.67
_cell_angle_gamma 90.00
_space_group_name_H-M_alt 'P 1 2/m 1'
_space_group_IT_number 10
loop_
_space_group_symop_operation_xyz
'x,y,z'
'-x,-y,-z'
'-x,y,-z'
'x,-y,z'
loop_
_atom_site_label
_atom_site_type_symbol
_atom_site_fract_x
_atom_site_fract_y
_atom_site_fract_z
In1 In 0.0000 0.0000 0.0000
In2 In 0.0000 0.5000 0.5000
Fe1 Fe 0.5000 0.0000 0.5000
Hg1 Hg 0.5000 0.5000 0.0000
```

---

# LaMn7O12

An optimized crystal structure of LaMn7O12 (PBEsol, Alexandria).

Summary:
E_form (uncorrected) (meV per atom): -1863.1
E (eV per atom): -8.696
Magnetic moment (μB per cell): 54.88

The structure in CIF format:
```
data_LaMn7O12
_chemical_formula_sum 'La2 Mn14 O24'
_cell_length_a 7.4052
_cell_length_b 7.4052
_cell_length_c 7.4052
_cell_angle_alpha 90.00
_cell_angle_beta 90.00
_cell_angle_gamma 90.00
_space_group_name_H-M_alt 'I m -3'
_space_group_IT_number 204
_space_group_name_Hall '-I 2 2 3'
loop_
_atom_site_label
_atom_site_type_symbol
_atom_site_fract_x
_atom_site_fract_y
_atom_site_fract_z
La1 La 0.0000 0.0000 0.0000
Mn1 Mn 0.0000 0.0000 0.5000
Mn2 Mn 0.2500 0.2500 0.2500
O1 O 0.0000 0.1767 0.3081
```

---

The highest E belongs to which entry? BaLiMg4

---

Please write out number 8 again, unchanged.
# MnFeAs

An optimized crystal structure of MnFeAs (PBEsol, Alexandria).

Summary:
Calculated formation energy (meV per atom): 19
E (eV per atom): -7.925
Magnetic moment (μB per cell): 3.24

The structure in CIF format:
```
data_MnFeAs
_chemical_formula_sum 'Mn1 Fe1 As1'
_cell_length_a 3.9057
_cell_length_b 3.9057
_cell_length_c 2.8092
_cell_angle_alpha 90.00
_cell_angle_beta 90.00
_cell_angle_gamma 120.00
_space_group_name_H-M_alt 'P -6 m 2'
_space_group_IT_number 187
_space_group_name_Hall 'P -6 2'
loop_
_atom_site_label
_atom_site_type_symbol
_atom_site_fract_x
_atom_site_fract_y
_atom_site_fract_z
Mn1 Mn 0.0000 0.0000 0.0000
Fe1 Fe 0.6667 0.3333 0.5000
As1 As 0.3333 0.6667 0.5000
```